No. 1
Pm3Sm2YSb6 after structural relaxation, computed with GGA-PBE.

Values from the calculation:
formation energy (no corrections) = -1.18 eV per atom
E_tot = -5.75 eV/atom
volume = 31.56 A^3/atom

Lattice parameters (Å, degrees): 9.992 9.992 8.936 102.89 102.89 25.86
Atoms (fractional coordinates):
Pm (0.000, 0.000, 0.000)
Pm (0.333, 0.333, 0.667)
Pm (0.667, 0.667, 0.333)
Sm (0.334, 0.334, 0.167)
Sm (0.666, 0.666, 0.833)
Y (0.000, 0.000, 0.500)
Sb (0.165, 0.165, 0.583)
Sb (0.167, 0.167, 0.082)
Sb (0.500, 0.500, 0.254)
Sb (0.500, 0.500, 0.746)
Sb (0.833, 0.833, 0.918)
Sb (0.835, 0.835, 0.417)

***

No. 2
PmSmZnSb after structural relaxation, computed with GGA-PBE.

Values from the calculation:
formation energy (no corrections) = -0.57 eV per atom
E_tot = -4.29 eV/atom
volume = 26.47 A^3/atom

Lattice parameters (Å, degrees): 5.310 5.310 5.310 60.00 60.00 60.00
Atoms (fractional coordinates):
Pm (0.000, 0.000, 0.000)
Sm (0.500, 0.500, 0.500)
Zn (0.250, 0.250, 0.250)
Sb (0.750, 0.750, 0.750)

***

No. 3
Pm4SnSb after structural relaxation, computed with GGA-PBE.

Values from the calculation:
formation energy (no corrections) = -0.39 eV per atom
E_tot = -4.91 eV/atom
volume = 35.93 A^3/atom

Lattice parameters (Å, degrees): 7.539 7.600 7.528 90.00 91.39 90.00
Atoms (fractional coordinates):
Pm (0.150, 0.153, 0.354)
Pm (0.150, 0.347, 0.854)
Pm (0.346, 0.653, 0.342)
Pm (0.346, 0.847, 0.842)
Pm (0.654, 0.153, 0.158)
Pm (0.654, 0.347, 0.658)
Pm (0.850, 0.653, 0.146)
Pm (0.850, 0.847, 0.646)
Sn (0.000, 0.000, 0.000)
Sn (0.000, 0.500, 0.500)
Sb (0.500, 0.000, 0.500)
Sb (0.500, 0.500, 0.000)

***

No. 4
Pm7Sn2Sb2 after structural relaxation, computed with GGA-PBE.

Values from the calculation:
formation energy (no corrections) = -0.43 eV per atom
E_tot = -4.93 eV/atom
volume = 34.68 A^3/atom

Lattice parameters (Å, degrees): 7.467 7.467 6.935 90.00 90.00 99.33
Atoms (fractional coordinates):
Pm (0.000, 0.000, 0.000)
Pm (0.000, 0.500, 0.273)
Pm (0.000, 0.500, 0.727)
Pm (0.500, 0.000, 0.273)
Pm (0.500, 0.000, 0.727)
Pm (0.500, 0.500, 0.261)
Pm (0.500, 0.500, 0.739)
Sn (0.275, 0.725, 0.000)
Sn (0.725, 0.275, 0.000)
Sb (0.202, 0.202, 0.500)
Sb (0.798, 0.798, 0.500)

***

No. 5
Pm6Sn5Sb after structural relaxation, computed with GGA-PBE.

Values from the calculation:
formation energy (no corrections) = -0.66 eV per atom
E_tot = -5.05 eV/atom
volume = 32.11 A^3/atom

Lattice parameters (Å, degrees): 7.718 7.718 7.883 99.38 99.38 119.82
Atoms (fractional coordinates):
Pm (0.082, 0.411, 0.746)
Pm (0.246, 0.246, 0.255)
Pm (0.411, 0.082, 0.746)
Pm (0.589, 0.918, 0.254)
Pm (0.754, 0.754, 0.745)
Pm (0.918, 0.589, 0.254)
Sn (0.167, 0.833, 0.000)
Sn (0.334, 0.666, 0.500)
Sn (0.500, 0.500, 0.000)
Sn (0.666, 0.334, 0.500)
Sn (0.833, 0.167, 0.000)
Sb (0.000, 0.000, 0.500)

***

No. 6
Pm5Sn2Sb2 after structural relaxation, computed with GGA-PBE.

Values from the calculation:
formation energy (no corrections) = -0.95 eV per atom
E_tot = -5.40 eV/atom
volume = 30.63 A^3/atom

Lattice parameters (Å, degrees): 8.939 8.939 8.372 90.00 90.00 55.49
Atoms (fractional coordinates):
Pm (0.000, 0.000, 0.000)
Pm (0.034, 0.693, 0.666)
Pm (0.193, 0.534, 0.166)
Pm (0.307, 0.966, 0.666)
Pm (0.466, 0.807, 0.166)
Pm (0.500, 0.500, 0.500)
Pm (0.534, 0.193, 0.834)
Pm (0.693, 0.034, 0.334)
Pm (0.807, 0.466, 0.834)
Pm (0.966, 0.307, 0.334)
Sn (0.131, 0.869, 0.369)
Sn (0.369, 0.631, 0.869)
Sn (0.631, 0.369, 0.131)
Sn (0.869, 0.131, 0.631)
Sb (0.203, 0.203, 0.000)
Sb (0.297, 0.297, 0.500)
Sb (0.703, 0.703, 0.500)
Sb (0.797, 0.797, 0.000)

***

No. 7
Pm12Sn6Sb after structural relaxation, computed with GGA-PBE.

Values from the calculation:
formation energy (no corrections) = -0.44 eV per atom
E_tot = -4.92 eV/atom
volume = 36.66 A^3/atom

Lattice parameters (Å, degrees): 9.026 9.026 9.026 100.10 100.10 100.10
Atoms (fractional coordinates):
Pm (0.050, 0.938, 0.669)
Pm (0.062, 0.331, 0.950)
Pm (0.185, 0.563, 0.423)
Pm (0.331, 0.950, 0.062)
Pm (0.423, 0.185, 0.563)
Pm (0.437, 0.577, 0.815)
Pm (0.563, 0.423, 0.185)
Pm (0.577, 0.815, 0.437)
Pm (0.669, 0.050, 0.938)
Pm (0.815, 0.437, 0.577)
Pm (0.938, 0.669, 0.050)
Pm (0.950, 0.062, 0.331)
Sn (0.130, 0.306, 0.620)
Sn (0.306, 0.620, 0.130)
Sn (0.380, 0.870, 0.694)
Sn (0.620, 0.130, 0.306)
Sn (0.694, 0.380, 0.870)
Sn (0.870, 0.694, 0.380)
Sb (0.000, 0.000, 0.000)

***

No. 8
Pm6SnSb3 after structural relaxation, computed with GGA-PBE.

Values from the calculation:
formation energy (no corrections) = -0.65 eV per atom
E_tot = -5.13 eV/atom
volume = 33.48 A^3/atom

Lattice parameters (Å, degrees): 8.797 8.797 8.797 83.79 83.79 83.79
Atoms (fractional coordinates):
Pm (0.124, 0.716, 0.829)
Pm (0.164, 0.402, 0.497)
Pm (0.171, 0.876, 0.284)
Pm (0.284, 0.171, 0.876)
Pm (0.402, 0.497, 0.164)
Pm (0.497, 0.164, 0.402)
Pm (0.503, 0.836, 0.598)
Pm (0.598, 0.503, 0.836)
Pm (0.716, 0.829, 0.124)
Pm (0.829, 0.124, 0.716)
Pm (0.836, 0.598, 0.503)
Pm (0.876, 0.284, 0.171)
Sn (0.000, 0.000, 0.000)
Sn (0.500, 0.500, 0.500)
Sb (0.040, 0.582, 0.189)
Sb (0.189, 0.040, 0.582)
Sb (0.418, 0.811, 0.960)
Sb (0.582, 0.189, 0.040)
Sb (0.811, 0.960, 0.418)
Sb (0.960, 0.418, 0.811)

***

No. 9
Pm8Sn3Sb2 after structural relaxation, computed with GGA-PBE.

Values from the calculation:
formation energy (no corrections) = -0.45 eV per atom
E_tot = -4.93 eV/atom
volume = 38.72 A^3/atom

Lattice parameters (Å, degrees): 9.140 9.140 7.713 107.09 107.09 55.93
Atoms (fractional coordinates):
Pm (0.084, 0.084, 0.290)
Pm (0.134, 0.633, 0.094)
Pm (0.367, 0.866, 0.906)
Pm (0.390, 0.390, 0.576)
Pm (0.610, 0.610, 0.424)
Pm (0.633, 0.134, 0.094)
Pm (0.866, 0.367, 0.906)
Pm (0.916, 0.916, 0.710)
Sn (0.228, 0.772, 0.500)
Sn (0.500, 0.500, 0.000)
Sn (0.772, 0.228, 0.500)
Sb (0.252, 0.252, 0.160)
Sb (0.748, 0.748, 0.840)

***

No. 10
Pm12Sn5Sb2 after structural relaxation, computed with GGA-PBE.

Values from the calculation:
formation energy (no corrections) = -0.48 eV per atom
E_tot = -4.96 eV/atom
volume = 35.01 A^3/atom

Lattice parameters (Å, degrees): 9.537 9.537 9.977 102.40 102.40 48.98
Atoms (fractional coordinates):
Pm (0.012, 0.012, 0.236)
Pm (0.058, 0.586, 0.898)
Pm (0.089, 0.631, 0.444)
Pm (0.369, 0.911, 0.556)
Pm (0.414, 0.414, 0.186)
Pm (0.414, 0.942, 0.102)
Pm (0.586, 0.058, 0.898)
Pm (0.586, 0.586, 0.814)
Pm (0.631, 0.089, 0.444)
Pm (0.911, 0.369, 0.556)
Pm (0.942, 0.414, 0.102)
Pm (0.988, 0.988, 0.764)
Sn (0.174, 0.174, 0.830)
Sn (0.215, 0.215, 0.360)
Sn (0.500, 0.500, 0.500)
Sn (0.785, 0.785, 0.640)
Sn (0.826, 0.826, 0.170)
Sb (0.271, 0.729, 0.000)
Sb (0.729, 0.271, 0.000)

***

No. 11
Pm7Sn3Sb after structural relaxation, computed with GGA-PBE.

Values from the calculation:
formation energy (no corrections) = -0.49 eV per atom
E_tot = -4.98 eV/atom
volume = 31.05 A^3/atom

Lattice parameters (Å, degrees): 8.195 8.195 6.005 111.48 111.48 92.66
Atoms (fractional coordinates):
Pm (0.000, 0.000, 0.000)
Pm (0.101, 0.581, 0.341)
Pm (0.327, 0.327, 0.826)
Pm (0.419, 0.899, 0.659)
Pm (0.581, 0.101, 0.341)
Pm (0.673, 0.673, 0.174)
Pm (0.899, 0.419, 0.659)
Sn (0.266, 0.734, 0.000)
Sn (0.500, 0.500, 0.500)
Sn (0.734, 0.266, 0.000)
Sb (0.000, 0.000, 0.500)